The following is a PBE calculation of an optimized crystal structure of Eu2ErSc, from Alexandria via LeMat-Bulk.

```
Eu2ErSc
1.0
0.000 4.029 4.029
4.029 0.000 4.029
4.029 4.029 0.000
Eu Er Sc
2 1 1
Direct
0.250 0.250 0.250 Eu
0.750 0.750 0.750 Eu
0.000 0.000 0.000 Er
0.500 0.500 0.500 Sc
```

Output
Total energy in eV/atom: -7.65
Size of the total moment in μB/cell: 14.44
Calculated density in g cm⁻³: 6.55
Space-group type: No. 225
Formation energy from the elements in eV per atom: 0.212
Volume in Å³ per atom: 32.7



The following is a PBE calculation of an optimized crystal structure of Zr2MoAs, from Alexandria via LeMat-Bulk.

```
Zr2MoAs
1.0
3.496 0.000 0.000
0.000 4.344 0.000
-1.733 0.000 5.088
Zr Mo As
2 1 1
Direct
0.000 0.000 0.000 Zr
0.282 0.500 0.578 Zr
0.729 0.000 0.475 Mo
0.566 0.500 0.137 As
```

Output
Total energy in eV/atom: -8.63
Size of the total moment in μB/cell: 0.00
Calculated density in g cm⁻³: 7.59
Space-group type: No. 6
Formation energy from the elements in eV per atom: -0.489
Volume in Å³ per atom: 19.3



The following is a PBE calculation of an optimized crystal structure of Li2PmMg2Cd2, from Alexandria via LeMat-Bulk.

```
Li2PmMg2Cd2
1.0
4.347 -2.506 0.000
4.347 2.506 0.000
-2.840 0.000 7.329
Li Pm Mg Cd
2 1 2 2
Direct
0.148 0.148 0.446 Li
0.852 0.852 0.554 Li
0.000 0.000 0.000 Pm
0.423 0.423 0.274 Mg
0.577 0.577 0.726 Mg
0.273 0.273 0.813 Cd
0.727 0.727 0.187 Cd
```

Output
Total energy in eV/atom: -2.15
Size of the total moment in μB/cell: 0.00
Calculated density in g cm⁻³: 4.50
Space-group type: No. 12
Formation energy from the elements in eV per atom: -0.204
Volume in Å³ per atom: 22.8



The following is a PBE calculation of an optimized crystal structure of ThAsRh4, from Alexandria via LeMat-Bulk.

```
ThAsRh4
1.0
7.425 0.000 0.000
0.000 4.020 0.000
0.000 0.000 6.976
Th As Rh
2 2 8
Direct
0.250 0.000 0.147 Th
0.750 0.000 0.853 Th
0.250 0.000 0.720 As
0.750 0.000 0.280 As
0.000 0.000 0.500 Rh
0.052 0.500 0.799 Rh
0.250 0.500 0.443 Rh
0.448 0.500 0.799 Rh
0.500 0.000 0.500 Rh
0.552 0.500 0.201 Rh
0.750 0.500 0.557 Rh
0.948 0.500 0.201 Rh
```

Output
Total energy in eV/atom: -7.52
Size of the total moment in μB/cell: 0.00
Calculated density in g cm⁻³: 11.46
Space-group type: No. 51
Formation energy from the elements in eV per atom: -0.609
Volume in Å³ per atom: 17.4